1.
This record from the Alexandria database describes a geometry-optimized CdTcSb2 structure. The functional is PBEsol.

Cell lengths 3.213, 3.213, 8.317 Å; angles 90.00, 90.00, 90.00 degrees
Space group P4/mmm (No. 123)
Asymmetric unit:
Cd 0.000 0.000 0.000 (multiplicity 1)
Tc 0.000 0.000 0.500 (multiplicity 1)
Sb 0.500 0.500 0.305 (multiplicity 2)

Computed properties:
The value obtained for the uncorrected formation energy is 0.048 eV/atom.

2.
This record from the Alexandria database describes a geometry-optimized CdTcSb3 structure. The functional is PBEsol.

Cell lengths 5.327, 5.327, 5.327 Å; angles 90.00, 90.00, 90.00 degrees
Space group Pm-3m (No. 221)
Asymmetric unit:
Cd 0.000 0.000 0.000 (multiplicity 1)
Tc 0.500 0.500 0.500 (multiplicity 1)
Sb 0.000 0.000 0.500 (multiplicity 3)

Computed properties:
The value obtained for the uncorrected formation energy is 1.596 eV/atom.

3.
This record from the Alexandria database describes a geometry-optimized Cd2TcSb structure. The functional is PBEsol.

Cell lengths 3.412, 3.412, 6.531 Å; angles 90.00, 90.00, 90.00 degrees
Space group P4mm (No. 99)
Asymmetric unit:
Cd 0.000 0.000 0.000 (multiplicity 1)
Cd 0.500 0.500 0.250 (multiplicity 1)
Tc 0.500 0.500 0.740 (multiplicity 1)
Sb 0.000 0.000 0.547 (multiplicity 1)

Computed properties:
The value obtained for the uncorrected formation energy is 0.192 eV/atom.

4.
This record from the Alexandria database describes a geometry-optimized CdTc3Sb structure. The functional is PBEsol.

Cell lengths 4.790, 4.790, 4.790 Å; angles 90.00, 90.00, 90.00 degrees
Space group Pm-3m (No. 221)
Asymmetric unit:
Cd 0.000 0.000 0.000 (multiplicity 1)
Tc 0.000 0.500 0.500 (multiplicity 3)
Sb 0.500 0.500 0.500 (multiplicity 1)

Computed properties:
The value obtained for the uncorrected formation energy is 1.883 eV/atom.

Number 1: VASP energy -5.35 eV/atom. Number 2: VASP energy -3.63 eV/atom. Number 3: VASP energy -4.36 eV/atom. Number 4: VASP energy -6.03 eV/atom.